## A
DFT (PBE) results for KPtF after structural relaxation.

## Properties
Symmetry: Cmcm
Calculated volume, Å³ per atom: 20.5
D(E_F), states/eV per cell: 0.00
Magnetization, μB per formula unit: 0.00

```
data_KPtF
_chemical_formula_sum 'K2 Pt2 F2'
_space_group_name_H-M_alt 'P 1'
_space_group_IT_number 1
_cell_length_a 6.894
_cell_length_b 6.894
_cell_length_c 3.616
_cell_angle_alpha 90.00
_cell_angle_beta 90.00
_cell_angle_gamma 134.22
loop_
_space_group_symop_operation_xyz
'x,y,z'
loop_
_atom_site_label
_atom_site_fract_x
_atom_site_fract_y
_atom_site_fract_z
K1 0.152 0.848 0.750
K2 0.848 0.152 0.250
Pt1 0.434 0.566 0.750
Pt2 0.566 0.434 0.250
F1 0.313 0.687 0.250
F2 0.687 0.313 0.750
```

=====

## B
DFT (PBE) results for KPtF after structural relaxation.

## Properties
Symmetry: F-43m
Calculated volume, Å³ per atom: 24.1
D(E_F), states/eV per cell: 4.10
Magnetization, μB per formula unit: 0.24

```
data_KPtF
_chemical_formula_sum 'K1 Pt1 F1'
_space_group_name_H-M_alt 'P 1'
_space_group_IT_number 1
_cell_length_a 4.679
_cell_length_b 4.679
_cell_length_c 4.679
_cell_angle_alpha 60.00
_cell_angle_beta 60.00
_cell_angle_gamma 60.00
loop_
_space_group_symop_operation_xyz
'x,y,z'
loop_
_atom_site_label
_atom_site_fract_x
_atom_site_fract_y
_atom_site_fract_z
K1 0.000 0.000 0.000
Pt1 0.750 0.750 0.750
F1 0.500 0.500 0.500
```

=====

Most stable of them? A.

=====

## A
DFT (PBE) results for KPt3F after structural relaxation.

## Properties
Symmetry: Pm-3m
Calculated volume, Å³ per atom: 27.4
D(E_F), states/eV per cell: 12.38
Magnetization, μB per formula unit: 1.66

```
data_KPt3F
_chemical_formula_sum 'K1 Pt3 F1'
_space_group_name_H-M_alt 'P 1'
_space_group_IT_number 1
_cell_length_a 5.158
_cell_length_b 5.158
_cell_length_c 5.158
_cell_angle_alpha 90.00
_cell_angle_beta 90.00
_cell_angle_gamma 90.00
loop_
_space_group_symop_operation_xyz
'x,y,z'
loop_
_atom_site_label
_atom_site_fract_x
_atom_site_fract_y
_atom_site_fract_z
K1 0.000 0.000 0.000
Pt1 0.000 0.000 0.500
Pt2 0.000 0.500 0.000
Pt3 0.500 0.000 0.000
F1 0.500 0.500 0.500
```

=====

## B
DFT (PBE) results for KPt3F after structural relaxation.

## Properties
Symmetry: Pm-3m
Calculated volume, Å³ per atom: 19.5
D(E_F), states/eV per cell: 5.39
Magnetization, μB per formula unit: 1.60

```
data_KPt3F
_chemical_formula_sum 'K1 Pt3 F1'
_space_group_name_H-M_alt 'P 1'
_space_group_IT_number 1
_cell_length_a 4.599
_cell_length_b 4.599
_cell_length_c 4.599
_cell_angle_alpha 90.00
_cell_angle_beta 90.00
_cell_angle_gamma 90.00
loop_
_space_group_symop_operation_xyz
'x,y,z'
loop_
_atom_site_label
_atom_site_fract_x
_atom_site_fract_y
_atom_site_fract_z
K1 0.000 0.000 0.000
Pt1 0.000 0.500 0.500
Pt2 0.500 0.000 0.500
Pt3 0.500 0.500 0.000
F1 0.500 0.500 0.500
```

=====

Most stable of them? B.

=====

## A
DFT (PBE) results for KPu2F8 after structural relaxation.

## Properties
Symmetry: C2/m
Calculated volume, Å³ per atom: 15.7
D(E_F), states/eV per cell: 16.44
Magnetization, μB per formula unit: 9.00

```
data_KPu2F8
_chemical_formula_sum 'K1 Pu2 F8'
_space_group_name_H-M_alt 'P 1'
_space_group_IT_number 1
_cell_length_a 6.549
_cell_length_b 6.549
_cell_length_c 4.452
_cell_angle_alpha 94.60
_cell_angle_beta 94.60
_cell_angle_gamma 114.00
loop_
_space_group_symop_operation_xyz
'x,y,z'
loop_
_atom_site_label
_atom_site_fract_x
_atom_site_fract_y
_atom_site_fract_z
K1 0.000 0.000 0.000
Pu1 0.324 0.676 0.500
Pu2 0.676 0.324 0.500
F1 0.042 0.337 0.582
F2 0.267 0.733 0.000
F3 0.337 0.042 0.582
F4 0.388 0.388 0.243
F5 0.612 0.612 0.757
F6 0.663 0.958 0.418
F7 0.733 0.267 0.000
F8 0.958 0.663 0.418
```

=====

## B
DFT (PBE) results for KPu2F8 after structural relaxation.

## Properties
Symmetry: C2/m
Calculated volume, Å³ per atom: 16.3
D(E_F), states/eV per cell: 13.09
Magnetization, μB per formula unit: 9.00

```
data_KPu2F8
_chemical_formula_sum 'K1 Pu2 F8'
_space_group_name_H-M_alt 'P 1'
_space_group_IT_number 1
_cell_length_a 6.595
_cell_length_b 6.595
_cell_length_c 4.544
_cell_angle_alpha 96.36
_cell_angle_beta 96.36
_cell_angle_gamma 66.24
loop_
_space_group_symop_operation_xyz
'x,y,z'
loop_
_atom_site_label
_atom_site_fract_x
_atom_site_fract_y
_atom_site_fract_z
K1 0.000 0.000 0.000
Pu1 0.325 0.325 0.543
Pu2 0.675 0.675 0.457
F1 0.049 0.668 0.563
F2 0.251 0.251 0.985
F3 0.332 0.951 0.437
F4 0.472 0.472 0.240
F5 0.528 0.528 0.760
F6 0.668 0.049 0.563
F7 0.749 0.749 0.015
F8 0.951 0.332 0.437
```

=====

Most stable of them? A.

=====

## A
DFT (PBE) results for K5Pu2F12 after structural relaxation.

## Properties
Symmetry: C2/m
Calculated volume, Å³ per atom: 20.1
D(E_F), states/eV per cell: 17.06
Magnetization, μB per formula unit: 9.00

```
data_K5Pu2F12
_chemical_formula_sum 'K5 Pu2 F12'
_space_group_name_H-M_alt 'P 1'
_space_group_IT_number 1
_cell_length_a 7.926
_cell_length_b 7.926
_cell_length_c 8.933
_cell_angle_alpha 124.23
_cell_angle_beta 124.23
_cell_angle_gamma 68.76
loop_
_space_group_symop_operation_xyz
'x,y,z'
loop_
_atom_site_label
_atom_site_fract_x
_atom_site_fract_y
_atom_site_fract_z
K1 0.000 0.000 0.000
K2 0.298 0.298 0.537
K3 0.302 0.302 0.058
K4 0.698 0.698 0.942
K5 0.702 0.702 0.463
Pu1 0.189 0.811 0.500
Pu2 0.811 0.189 0.500
F1 0.001 0.001 0.708
F2 0.116 0.477 0.294
F3 0.179 0.179 0.678
F4 0.306 0.690 0.719
F5 0.310 0.694 0.281
F6 0.477 0.116 0.294
F7 0.523 0.884 0.706
F8 0.690 0.306 0.719
F9 0.694 0.310 0.281
F10 0.821 0.821 0.322
F11 0.884 0.523 0.706
F12 0.999 0.999 0.292
```

=====

## B
DFT (PBE) results for K5Pu2F12 after structural relaxation.

## Properties
Symmetry: C2/m
Calculated volume, Å³ per atom: 18.9
D(E_F), states/eV per cell: 20.47
Magnetization, μB per formula unit: 9.00

```
data_K5Pu2F12
_chemical_formula_sum 'K5 Pu2 F12'
_space_group_name_H-M_alt 'P 1'
_space_group_IT_number 1
_cell_length_a 7.970
_cell_length_b 7.970
_cell_length_c 7.553
_cell_angle_alpha 116.53
_cell_angle_beta 116.53
_cell_angle_gamma 60.88
loop_
_space_group_symop_operation_xyz
'x,y,z'
loop_
_atom_site_label
_atom_site_fract_x
_atom_site_fract_y
_atom_site_fract_z
K1 0.000 0.000 0.000
K2 0.269 0.269 0.496
K3 0.296 0.296 0.979
K4 0.704 0.704 0.021
K5 0.731 0.731 0.504
Pu1 0.247 0.753 0.500
Pu2 0.753 0.247 0.500
F1 0.078 0.078 0.698
F2 0.102 0.523 0.258
F3 0.118 0.702 0.679
F4 0.298 0.882 0.321
F5 0.477 0.898 0.742
F6 0.499 0.499 0.331
F7 0.501 0.501 0.669
F8 0.523 0.102 0.258
F9 0.702 0.118 0.679
F10 0.882 0.298 0.321
F11 0.898 0.477 0.742
F12 0.922 0.922 0.302
```

=====

Most stable of them? B.